Entry 1:
This record from the Alexandria database describes a PBEsol-optimized structure of Sc5Cd3. The functional is SCAN.

Summary:
magnetic moment	1.5	μB per cell
energy above the most stable polymorph in this dataset	14	meV/atom
DFT total energy	-20.560	eV/atom
D(E_F)	0.69	states/eV per atom
energy of formation from the pure elements	-0.26	eV per atom

Cell lengths 8.6391, 8.6391, 5.4173 Å; angles 90.00, 90.00, 120.00 degrees
Space group P6_3/mcm (No. 193)
Symmetry-distinct sites (fractional):
Sc 0.0000 0.2313 0.2500 [6 per cell]
Sc 0.3333 0.6667 0.0000 [4 per cell]
Cd 0.0000 0.4023 0.7500 [6 per cell]


Entry 2:
This record from the Alexandria database describes a PBEsol-optimized structure of Sc8Cd. The functional is SCAN.

Summary:
magnetic moment	8.1	μB per cell
DFT total energy	-16.068	eV/atom
D(E_F)	1.46	states/eV per atom
energy of formation from the pure elements	-0.03	eV per atom

Cell lengths 9.5639, 9.5639, 4.5049 Å; angles 90.00, 90.00, 90.00 degrees
Space group I4/mmm (No. 139)
Symmetry-distinct sites (fractional):
Sc 0.0000 0.3329 0.0000 [8 per cell]
Sc 0.1645 0.1645 0.5000 [8 per cell]
Cd 0.0000 0.0000 0.0000 [2 per cell]


Entry 3:
This record from the Alexandria database describes a PBEsol-optimized structure of Sc5Cd24. The functional is SCAN.

Summary:
magnetic moment	0.0	μB per cell
DFT total energy	-27.816	eV/atom
D(E_F)	0.40	states/eV per atom
energy of formation from the pure elements	-0.19	eV per atom

Cell lengths 10.5989, 10.5989, 10.5989 Å; angles 90.00, 90.00, 90.00 degrees
Space group I-43m (No. 217)
Symmetry-distinct sites (fractional):
Sc 0.0000 0.0000 0.0000 [2 per cell]
Sc 0.1872 0.1872 0.1872 [8 per cell]
Cd 0.0378 0.3555 0.6445 [24 per cell]
Cd 0.0900 0.0900 0.7189 [24 per cell]